Entry 1:
VASP calculation (GGA-PBEsol) on a relaxed BaHfSb2I crystal.

- formation energy (no corrections) (meV/atom) = 1186.8
- crystal system = tetragonal

CIF file:
```
data_BaHfSb2I
_symmetry_space_group_name_H-M 'P 4/m m m'
_symmetry_Int_Tables_number 123
_symmetry_space_group_name_Hall '-P 4 2'
_cell_length_a 5.995
_cell_length_b 5.995
_cell_length_c 6.086
_cell_angle_alpha 90.00
_cell_angle_beta 90.00
_cell_angle_gamma 90.00
loop_
_atom_site_label
_atom_site_fract_x
_atom_site_fract_y
_atom_site_fract_z
Ba1 0.000 0.000 0.000
Hf1 0.500 0.500 0.500
Sb1 0.000 0.500 0.000
I1 0.000 0.000 0.500
```

***

Entry 2:
VASP calculation (GGA-PBEsol) on a relaxed Ba2HfMnIn crystal.

- final energy (Ry/atom) = -0.3168
- crystal system = tetragonal

CIF file:
```
data_Ba2HfMnIn
_symmetry_space_group_name_H-M 'P 4/m m m'
_symmetry_Int_Tables_number 123
_symmetry_space_group_name_Hall '-P 4 2'
_cell_length_a 6.433
_cell_length_b 6.433
_cell_length_c 4.975
_cell_angle_alpha 90.00
_cell_angle_beta 90.00
_cell_angle_gamma 90.00
loop_
_atom_site_label
_atom_site_fract_x
_atom_site_fract_y
_atom_site_fract_z
Ba1 0.000 0.500 0.000
Hf1 0.000 0.000 0.500
Mn1 0.500 0.500 0.500
In1 0.500 0.500 0.000
```

***

Entry 3:
VASP calculation (GGA-PBEsol) on a relaxed Ba3HfIr crystal.

- relative energy among the computed polymorphs (eV per atom) = 0.000
- crystal system = cubic

CIF file:
```
data_Ba3HfIr
_symmetry_space_group_name_H-M 'P m -3 m'
_symmetry_Int_Tables_number 221
_symmetry_space_group_name_Hall '-P 4 2 3'
_cell_length_a 5.905
_cell_length_b 5.905
_cell_length_c 5.905
_cell_angle_alpha 90.00
_cell_angle_beta 90.00
_cell_angle_gamma 90.00
loop_
_atom_site_label
_atom_site_fract_x
_atom_site_fract_y
_atom_site_fract_z
Ba1 0.000 0.000 0.500
Hf1 0.500 0.500 0.500
Ir1 0.000 0.000 0.000
```